Version i
VASP calculation (GGA-PBE) on PrEr4Hg after structural relaxation.

The structure in extended XYZ format:
```
6
Lattice="3.578 0.000 0.000 0.000 3.578 0.000 0.000 0.000 13.979" Properties=species:S:1:pos:R:3 pbc="T T T"
Pr 0.000 0.000 0.000
Er 1.789 1.789 2.544
Er 0.000 0.000 8.965
Er 0.000 0.000 5.014
Er 1.789 1.789 11.435
Hg 1.789 1.789 6.990
```

Summary:
Density (g/cm3): 9.37
Space-group type: No. 123

---

Version ii
VASP calculation (GGA-PBE) on PrEr4Hg after structural relaxation.

The structure in extended XYZ format:
```
12
Lattice="-4.821 1.462 -3.812 -2.703 -2.707 8.075 3.962 7.203 0.141" Properties=species:S:1:pos:R:3 pbc="T T T"
Pr -2.518 0.300 3.529
Pr -1.045 5.659 0.875
Er 2.435 5.132 1.307
Er -3.116 3.689 2.951
Er 0.281 4.237 4.088
Er -1.749 2.573 6.063
Er -1.815 3.386 -1.658
Er -3.845 1.722 0.317
Er -0.447 2.270 1.454
Er -5.998 0.827 3.098
Hg -1.205 0.371 -0.951
Hg -2.358 5.588 5.355
```

Summary:
Density (g/cm3): 9.25
Space-group type: No. 15

---

Most stable structure - version i; separation to the second - 0.090 eV/atom.

---

Version i
VASP calculation (GGA-PBE) on PrErHg4 after structural relaxation.

The structure in extended XYZ format:
```
6
Lattice="-4.356 0.241 -1.263 -0.898 -3.777 2.377 -1.763 4.823 7.000" Properties=species:S:1:pos:R:3 pbc="T T T"
Pr -4.390 3.056 7.536
Er -1.779 -1.364 5.856
Hg -3.540 -2.386 3.566
Hg -4.375 -0.101 6.883
Hg -1.747 1.665 6.321
Hg -0.914 -0.615 3.013
```

Summary:
Density (g/cm3): 10.27
Space-group type: No. 47

---

Version ii
VASP calculation (GGA-PBE) on PrErHg4 after structural relaxation.

The structure in extended XYZ format:
```
6
Lattice="-5.822 -0.908 1.112 -1.712 -4.593 3.454 -2.201 1.028 5.482" Properties=species:S:1:pos:R:3 pbc="T T T"
Pr -2.434 -1.118 2.512
Hg -4.984 -3.310 3.538
Hg -5.229 -0.498 4.553
Hg -6.085 -2.796 6.280
Hg -3.173 -2.342 5.724
Er 0.000 0.000 0.000
```

Summary:
Density (g/cm3): 12.10
Space-group type: No. 216

---

Most stable structure - version ii; separation to the second - 0.009 eV/atom.